## CePdN (PBE)

Data for CePdN after structural relaxation.

Lattice parameters (Å, degrees): 3.9484 3.9484 14.2740 90.00 90.00 90.00
Atoms (fractional coordinates):
Ce 0.0000 0.0000 0.1703
Ce 0.0000 0.0000 0.8297
Ce 0.5000 0.5000 0.3297
Ce 0.5000 0.5000 0.6703
Pd 0.0000 0.5000 0.0000
Pd 0.0000 0.5000 0.5000
Pd 0.5000 0.0000 0.0000
Pd 0.5000 0.0000 0.5000
N 0.0000 0.5000 0.2500
N 0.0000 0.5000 0.7500
N 0.5000 0.0000 0.2500
N 0.5000 0.0000 0.7500

Calculated values
Space-group type: No. 139
Fermi-level density of states in states/eV/f.u.: 0.90
Distance to the lowest polymorph of the same formula in eV/f.u.: 0.00
Total moment in μB/atom: 0.00

## Ce3PdN (PBE)

Data for Ce3PdN after structural relaxation.

Lattice parameters (Å, degrees): 4.8135 4.8135 4.8135 90.00 90.00 90.00
Atoms (fractional coordinates):
Ce 0.0000 0.0000 0.5000
Ce 0.0000 0.5000 0.0000
Ce 0.5000 0.0000 0.0000
Pd 0.5000 0.5000 0.5000
N 0.0000 0.0000 0.0000

Calculated values
Space-group type: No. 221
Fermi-level density of states in states/eV/f.u.: 12.79
Total moment in μB/atom: 0.42
Calculated total energy in eV per cell: -34.829

## Ce4Pd2N (PBE)

Data for Ce4Pd2N after structural relaxation.

Lattice parameters (Å, degrees): 4.8055 4.8055 14.4891 90.00 90.00 90.00
Atoms (fractional coordinates):
Ce 0.0000 0.0000 0.1766
Ce 0.0000 0.0000 0.8234
Ce 0.0000 0.5000 0.0000
Ce 0.0000 0.5000 0.5000
Ce 0.5000 0.0000 0.0000
Ce 0.5000 0.0000 0.5000
Ce 0.5000 0.5000 0.3234
Ce 0.5000 0.5000 0.6766
Pd 0.0000 0.0000 0.3613
Pd 0.0000 0.0000 0.6387
Pd 0.5000 0.5000 0.1387
Pd 0.5000 0.5000 0.8613
N 0.0000 0.0000 0.0000
N 0.5000 0.5000 0.5000

Calculated values
Space-group type: No. 139
Fermi-level density of states in states/eV/f.u.: 21.12
Total moment in μB/atom: 0.44
Calculated total energy in eV per cell: -94.358

## CePdN (PBE)

Data for CePdN after structural relaxation.

Lattice parameters (Å, degrees): 3.6633 3.6633 4.5241 90.00 90.00 120.00
Atoms (fractional coordinates):
Ce 0.0000 0.0000 0.0000
Pd 0.3333 0.6667 0.4774
N 0.6667 0.3333 0.8140

Calculated values
Space-group type: No. 156
Fermi-level density of states in states/eV/f.u.: 2.74
Distance to the lowest polymorph of the same formula in eV/f.u.: 1.32
Total moment in μB/atom: 0.00

## CePdN (PBE)

Data for CePdN after structural relaxation.

Lattice parameters (Å, degrees): 4.0777 4.0777 6.7324 90.00 90.00 90.00
Atoms (fractional coordinates):
Ce 0.0000 0.0000 0.0000
Ce 0.5000 0.5000 0.5000
Pd 0.0000 0.0000 0.3912
Pd 0.5000 0.5000 0.8912
N 0.0000 0.0000 0.6971
N 0.5000 0.5000 0.1971

Calculated values
Space-group type: No. 107
Fermi-level density of states in states/eV/f.u.: 4.47
Distance to the lowest polymorph of the same formula in eV/f.u.: 2.35
Total moment in μB/atom: 0.18

## CePdN (PBE)

Data for CePdN after structural relaxation.

Lattice parameters (Å, degrees): 3.4102 3.3745 9.1031 90.00 90.00 90.00
Atoms (fractional coordinates):
Ce 0.0000 0.0000 0.0000
Ce 0.0000 0.5000 0.5000
Pd 0.5000 0.0000 0.7239
Pd 0.5000 0.5000 0.2239
N 0.5000 0.0000 0.4772
N 0.5000 0.5000 0.9772

Calculated values
Space-group type: No. 38
Fermi-level density of states in states/eV/f.u.: 2.08
Distance to the lowest polymorph of the same formula in eV/f.u.: 0.91
Total moment in μB/atom: 0.04

## Ce2PmPdN4 (PBE)

Data for Ce2PmPdN4 after structural relaxation.

Lattice parameters (Å, degrees): 6.1585 6.1585 11.8886 90.00 90.00 147.14
Atoms (fractional coordinates):
Ce 0.1291 0.8709 0.5539
Ce 0.1291 0.8709 0.9461
Ce 0.8709 0.1291 0.0539
Ce 0.8709 0.1291 0.4461
Pm 0.3850 0.6150 0.7500
Pm 0.6150 0.3850 0.2500
Pd 0.3535 0.6465 0.2500
Pd 0.6465 0.3535 0.7500
N 0.0381 0.9619 0.7500
N 0.2283 0.7717 0.1126
N 0.2283 0.7717 0.3874
N 0.5000 0.5000 0.0000
N 0.5000 0.5000 0.5000
N 0.7717 0.2283 0.6126
N 0.7717 0.2283 0.8874
N 0.9619 0.0381 0.2500

Calculated values
Space-group type: No. 63
Fermi-level density of states in states/eV/f.u.: 3.79
Total moment in μB/atom: 0.00
Calculated total energy in eV per cell: -126.260

## Ce2PuPdN5 (PBE)

Data for Ce2PuPdN5 after structural relaxation.

Lattice parameters (Å, degrees): 6.7827 6.7827 10.7794 90.00 90.00 150.24
Atoms (fractional coordinates):
Ce 0.0968 0.9032 0.5000
Ce 0.1445 0.8555 0.1112
Ce 0.8555 0.1445 0.6112
Ce 0.9032 0.0968 0.0000
Pu 0.2069 0.7931 0.8276
Pu 0.7931 0.2069 0.3276
Pd 0.4783 0.5217 0.2592
Pd 0.5217 0.4783 0.7592
N 0.0610 0.9390 0.8879
N 0.2699 0.7301 0.4716
N 0.3238 0.6762 0.1924
N 0.3639 0.6361 0.8061
N 0.4818 0.5182 0.5765
N 0.5182 0.4818 0.0765
N 0.6361 0.3639 0.3061
N 0.6762 0.3238 0.6924
N 0.7301 0.2699 0.9716
N 0.9390 0.0610 0.3879

Calculated values
Space-group type: No. 36
Fermi-level density of states in states/eV/f.u.: 6.87
Total moment in μB/atom: 0.34
Calculated total energy in eV per cell: -161.014

## CePu2PdN4 (PBE)

Data for CePu2PdN4 after structural relaxation.

Lattice parameters (Å, degrees): 5.9167 5.9167 11.9428 90.00 90.00 145.87
Atoms (fractional coordinates):
Ce 0.1040 0.8960 0.7500
Ce 0.8960 0.1040 0.2500
Pu 0.3711 0.6289 0.5558
Pu 0.3711 0.6289 0.9442
Pu 0.6289 0.3711 0.0558
Pu 0.6289 0.3711 0.4442
Pd 0.1706 0.8294 0.2500
Pd 0.8294 0.1706 0.7500
N 0.0000 0.0000 0.0000
N 0.0000 0.0000 0.5000
N 0.2670 0.7330 0.0983
N 0.2670 0.7330 0.4017
N 0.4698 0.5302 0.7500
N 0.5302 0.4698 0.2500
N 0.7330 0.2670 0.5983
N 0.7330 0.2670 0.9017

Calculated values
Space-group type: No. 63
Fermi-level density of states in states/eV/f.u.: 14.44
Total moment in μB/atom: 1.00
Calculated total energy in eV per cell: -161.391

## CeSb2PdN (PBE)

Data for CeSb2PdN after structural relaxation.

Lattice parameters (Å, degrees): 3.8502 3.8502 15.6264 90.00 90.00 90.00
Atoms (fractional coordinates):
Ce 0.2500 0.2500 0.0745
Ce 0.7500 0.7500 0.9255
Sb 0.2500 0.2500 0.4303
Sb 0.2500 0.2500 0.7773
Sb 0.7500 0.7500 0.2227
Sb 0.7500 0.7500 0.5697
Pd 0.2500 0.2500 0.6061
Pd 0.7500 0.7500 0.3939
N 0.2500 0.7500 0.0000
N 0.7500 0.2500 0.0000

Calculated values
Space-group type: No. 129
Fermi-level density of states in states/eV/f.u.: 1.87
Total moment in μB/atom: 0.00
Calculated total energy in eV per cell: -62.611

## CeSbPdN (PBE)

Data for CeSbPdN after structural relaxation.

Lattice parameters (Å, degrees): 3.3962 3.3962 14.0071 90.00 90.00 90.00
Atoms (fractional coordinates):
Ce 0.0000 0.0000 0.0000
Ce 0.5000 0.5000 0.5000
Sb 0.0000 0.0000 0.2619
Sb 0.5000 0.5000 0.7619
Pd 0.0000 0.0000 0.6621
Pd 0.5000 0.5000 0.1621
N 0.0000 0.0000 0.5062
N 0.5000 0.5000 0.0062

Calculated values
Space-group type: No. 107
Fermi-level density of states in states/eV/f.u.: 2.85
Total moment in μB/atom: 0.06
Calculated total energy in eV per cell: -53.371

## Ce2SmPdN4 (PBE)

Data for Ce2SmPdN4 after structural relaxation.

Lattice parameters (Å, degrees): 6.1489 6.1489 11.8840 90.00 90.00 147.16
Atoms (fractional coordinates):
Ce 0.1290 0.8710 0.5539
Ce 0.1290 0.8710 0.9461
Ce 0.8710 0.1290 0.0539
Ce 0.8710 0.1290 0.4461
Sm 0.3844 0.6156 0.7500
Sm 0.6156 0.3844 0.2500
Pd 0.3541 0.6459 0.2500
Pd 0.6459 0.3541 0.7500
N 0.0367 0.9633 0.7500
N 0.2280 0.7720 0.1132
N 0.2280 0.7720 0.3868
N 0.5000 0.5000 0.0000
N 0.5000 0.5000 0.5000
N 0.7720 0.2280 0.6132
N 0.7720 0.2280 0.8868
N 0.9633 0.0367 0.2500

Calculated values
Space-group type: No. 63
Fermi-level density of states in states/eV/f.u.: 3.89
Total moment in μB/atom: 0.00
Calculated total energy in eV per cell: -126.150

## CeSnPdN (PBE)

Data for CeSnPdN after structural relaxation.

Lattice parameters (Å, degrees): 3.5463 3.5463 11.5471 90.00 90.00 90.00
Atoms (fractional coordinates):
Ce 0.0000 0.0000 0.0000
Ce 0.5000 0.5000 0.5000
Sn 0.0000 0.0000 0.2899
Sn 0.5000 0.5000 0.7899
Pd 0.0000 0.0000 0.6927
Pd 0.5000 0.5000 0.1927
N 0.0000 0.0000 0.4888
N 0.5000 0.5000 0.9888

Calculated values
Space-group type: No. 107
Fermi-level density of states in states/eV/f.u.: 5.49
Total moment in μB/atom: 0.15
Calculated total energy in eV per cell: -53.112

## SrCe2PdN4 (PBE)

Data for SrCe2PdN4 after structural relaxation.

Lattice parameters (Å, degrees): 6.2380 6.2380 12.1639 90.00 90.00 146.71
Atoms (fractional coordinates):
Sr 0.1059 0.8941 0.7500
Sr 0.8941 0.1059 0.2500
Ce 0.3691 0.6309 0.5515
Ce 0.3691 0.6309 0.9485
Ce 0.6309 0.3691 0.0515
Ce 0.6309 0.3691 0.4485
Pd 0.1596 0.8404 0.2500
Pd 0.8404 0.1596 0.7500
N 0.0000 0.0000 0.0000
N 0.0000 0.0000 0.5000
N 0.2583 0.7417 0.1016
N 0.2583 0.7417 0.3984
N 0.4348 0.5652 0.7500
N 0.5652 0.4348 0.2500
N 0.7417 0.2583 0.6016
N 0.7417 0.2583 0.8984

Calculated values
Space-group type: No. 63
Fermi-level density of states in states/eV/f.u.: 6.30
Total moment in μB/atom: 0.00
Calculated total energy in eV per cell: -117.171

## Tb2CePdN4 (PBE)

Data for Tb2CePdN4 after structural relaxation.

Lattice parameters (Å, degrees): 6.0734 6.0734 11.7156 90.00 90.00 147.19
Atoms (fractional coordinates):
Tb 0.1282 0.8718 0.5495
Tb 0.1282 0.8718 0.9505
Tb 0.8718 0.1282 0.0495
Tb 0.8718 0.1282 0.4505
Ce 0.3827 0.6173 0.7500
Ce 0.6173 0.3827 0.2500
Pd 0.3552 0.6448 0.2500
Pd 0.6448 0.3552 0.7500
N 0.0352 0.9648 0.7500
N 0.2205 0.7795 0.1276
N 0.2205 0.7795 0.3724
N 0.5000 0.5000 0.0000
N 0.5000 0.5000 0.5000
N 0.7795 0.2205 0.6276
N 0.7795 0.2205 0.8724
N 0.9648 0.0352 0.2500

Calculated values
Space-group type: No. 63
Fermi-level density of states in states/eV/f.u.: 5.65
Total moment in μB/atom: 0.00
Calculated total energy in eV per cell: -122.600

## Ce2UPdN5 (PBE)

Data for Ce2UPdN5 after structural relaxation.

Lattice parameters (Å, degrees): 6.8210 6.8210 10.8540 90.00 90.00 150.11
Atoms (fractional coordinates):
Ce 0.0950 0.9050 0.5000
Ce 0.1393 0.8607 0.1173
Ce 0.8607 0.1393 0.6173
Ce 0.9050 0.0950 0.0000
U 0.2067 0.7933 0.8318
U 0.7933 0.2067 0.3318
Pd 0.4773 0.5227 0.2636
Pd 0.5227 0.4773 0.7636
N 0.0608 0.9392 0.8945
N 0.2705 0.7295 0.4665
N 0.3194 0.6806 0.2013
N 0.3643 0.6357 0.8065
N 0.4841 0.5159 0.5809
N 0.5159 0.4841 0.0809
N 0.6357 0.3643 0.3065
N 0.6806 0.3194 0.7013
N 0.7295 0.2705 0.9665
N 0.9392 0.0608 0.3945

Calculated values
Space-group type: No. 36
Fermi-level density of states in states/eV/f.u.: 6.77
Total moment in μB/atom: 0.08
Calculated total energy in eV per cell: -157.206

## CeU2PdN5 (PBE)

Data for CeU2PdN5 after structural relaxation.

Lattice parameters (Å, degrees): 6.4628 6.4628 5.7412 90.00 90.00 90.00
Atoms (fractional coordinates):
Ce 0.0000 0.0000 0.0000
Ce 0.5000 0.5000 0.0000
U 0.1700 0.3300 0.5000
U 0.3300 0.8300 0.5000
U 0.6700 0.1700 0.5000
U 0.8300 0.6700 0.5000
Pd 0.0000 0.5000 0.0000
Pd 0.5000 0.0000 0.0000
N 0.0000 0.0000 0.5000
N 0.1586 0.6586 0.2483
N 0.1586 0.6586 0.7517
N 0.3414 0.1586 0.2483
N 0.3414 0.1586 0.7517
N 0.5000 0.5000 0.5000
N 0.6586 0.8414 0.2483
N 0.6586 0.8414 0.7517
N 0.8414 0.3414 0.2483
N 0.8414 0.3414 0.7517

Calculated values
Space-group type: No. 127
Fermi-level density of states in states/eV/f.u.: 12.54
Total moment in μB/atom: 0.34
Calculated total energy in eV per cell: -168.624

## CePm4N5 (PBE)

Data for CePm4N5 after structural relaxation.

Lattice parameters (Å, degrees): 6.2332 6.2332 6.2332 99.62 99.62 131.75
Atoms (fractional coordinates):
Ce 0.0000 0.0000 0.0000
Pm 0.1996 0.6007 0.8004
Pm 0.3993 0.1996 0.5989
Pm 0.6007 0.8004 0.4011
Pm 0.8004 0.3993 0.1996
N 0.0955 0.2899 0.3854
N 0.2899 0.9045 0.1944
N 0.5000 0.5000 0.0000
N 0.7101 0.0955 0.8056
N 0.9045 0.7101 0.6146

Calculated values
Space-group type: No. 87
Fermi-level density of states in states/eV/f.u.: 2.54
Total moment in μB/atom: 0.00
Calculated total energy in eV per cell: -81.305

## Ce2PmN (PBE)

Data for Ce2PmN after structural relaxation.

Lattice parameters (Å, degrees): 3.5211 3.5211 27.7791 90.00 90.00 120.00
Atoms (fractional coordinates):
Ce 0.0000 0.0000 0.2172
Ce 0.0000 0.0000 0.7828
Ce 0.3333 0.6667 0.4495
Ce 0.3333 0.6667 0.8839
Ce 0.6667 0.3333 0.1161
Ce 0.6667 0.3333 0.5505
Pm 0.0000 0.0000 0.0000
Pm 0.3333 0.6667 0.6667
Pm 0.6667 0.3333 0.3333
N 0.0000 0.0000 0.5000
N 0.3333 0.6667 0.1667
N 0.6667 0.3333 0.8333

Calculated values
Space-group type: No. 166
Fermi-level density of states in states/eV/f.u.: 9.50
Distance to the lowest polymorph of the same formula in eV/f.u.: 0.00
Total moment in μB/atom: 0.03

## CePm3N4 (PBE)

Data for CePm3N4 after structural relaxation.

Lattice parameters (Å, degrees): 5.0922 5.0922 5.0922 90.00 90.00 90.00
Atoms (fractional coordinates):
Ce 0.0000 0.0000 0.0000
Pm 0.0000 0.5000 0.5000
Pm 0.5000 0.0000 0.5000
Pm 0.5000 0.5000 0.0000
N 0.0000 0.0000 0.5000
N 0.0000 0.5000 0.0000
N 0.5000 0.0000 0.0000
N 0.5000 0.5000 0.5000

Calculated values
Space-group type: No. 221
Fermi-level density of states in states/eV/f.u.: 5.06
Distance to the lowest polymorph of the same formula in eV/f.u.: 0.15
Total moment in μB/atom: 0.05

## Ce3PmN3 (PBE)

Data for Ce3PmN3 after structural relaxation.

Lattice parameters (Å, degrees): 5.0363 5.0363 5.0363 90.00 90.00 90.00
Atoms (fractional coordinates):
Ce 0.0000 0.0000 0.5000
Ce 0.0000 0.5000 0.0000
Ce 0.5000 0.0000 0.0000
Pm 0.5000 0.5000 0.5000
N 0.0000 0.5000 0.5000
N 0.5000 0.0000 0.5000
N 0.5000 0.5000 0.0000

Calculated values
Space-group type: No. 221
Fermi-level density of states in states/eV/f.u.: 9.36
Total moment in μB/atom: 0.26
Calculated total energy in eV per cell: -55.971

## CePm8N6 (PBE)

Data for CePm8N6 after structural relaxation.

Lattice parameters (Å, degrees): 9.8686 9.8686 9.8686 37.05 37.05 37.05
Atoms (fractional coordinates):
Ce 0.0000 0.0000 0.0000
Pm 0.1019 0.4383 0.7658
Pm 0.2342 0.8981 0.5617
Pm 0.3334 0.3334 0.3334
Pm 0.4383 0.7658 0.1019
Pm 0.5617 0.2342 0.8981
Pm 0.6666 0.6666 0.6666
Pm 0.7658 0.1019 0.4383
Pm 0.8981 0.5617 0.2342
N 0.0559 0.7292 0.3822
N 0.2708 0.6178 0.9441
N 0.3822 0.0559 0.7292
N 0.6178 0.9441 0.2708
N 0.7292 0.3822 0.0559
N 0.9441 0.2708 0.6178

Calculated values
Space-group type: No. 148
Fermi-level density of states in states/eV/f.u.: 10.57
Total moment in μB/atom: 0.07
Calculated total energy in eV per cell: -111.128